<1>
Entry from the Alexandria database: crystalline BiPPdAuN at its relaxed geometry (PBE).

Output
- size of the total moment (μB/atom) = 0.000

Unit cell a=4.3528 b=4.9506 c=5.1357 alpha=109.81 beta=93.23 gamma=111.87
Closest atoms and distances in Å follow each position.
Fractional coordinates of all 5 atoms:
Bi 0.5977 0.7321 0.4480  1 N 2.40
Au 0.9238 0.2346 0.2270  2 P 2.49-2.50
Pd 0.8553 0.5578 0.8603  1 N 2.12, 1 P 2.28
P 0.3201 0.0262 0.9900  1 N 1.64
N 0.4192 0.1242 0.7218  1 P 1.64

***

<2>
Entry from the Alexandria database: crystalline BiPPdAuN at its relaxed geometry (PBE).

Output
- size of the total moment (μB/atom) = 0.000

Unit cell a=3.4693 b=4.3957 c=6.6651 alpha=103.60 beta=90.09 gamma=89.98
Closest atoms and distances in Å follow each position.
Fractional coordinates of all 5 atoms:
Pd 0.6389 0.3906 0.8488  2 N 2.22, 2 P 2.29
Au 0.1356 0.7025 0.2562  1 P 2.51
N 0.1389 0.0719 0.8412  1 P 1.57
Bi 0.6361 0.2660 0.4148  1 Pd 2.81, 4 Au 2.96-3.01
P 0.1389 0.7379 0.8860  1 N 1.57

***

<2> has the most favorable energy; the next structure is 72 meV per atom above.

***

<1>
Entry from the Alexandria database: crystalline BiPPdAuN at its relaxed geometry (PBE).

Output
- size of the total moment (μB/atom) = 0.000

Unit cell a=6.9596 b=3.4523 c=9.0526 alpha=90.00 beta=115.45 gamma=90.00
Closest atoms and distances in Å follow each position.
Fractional coordinates of all 10 atoms:
P 0.9234 0.0000 0.4872  1 N 1.65
P 0.9234 0.5000 0.9872  1 N 1.65
Bi 0.4770 0.5000 0.3008  2 N 2.48
Bi 0.4770 0.0000 0.8008  2 N 2.48
Pd 0.8736 0.0000 0.1340  1 N 2.12, 2 P 2.29
Pd 0.8736 0.5000 0.6340  1 N 2.12, 2 P 2.29
Au 0.2418 0.5000 0.9415  1 P 2.42
Au 0.2418 0.0000 0.4415  1 P 2.42
N 0.7312 0.5000 0.7990  1 P 1.65
N 0.7312 0.0000 0.2990  1 P 1.65

***

<2>
Entry from the Alexandria database: crystalline BiPPdAuN at its relaxed geometry (PBE).

Output
- size of the total moment (μB/atom) = 0.000

Unit cell a=3.3207 b=4.1888 c=6.6240 alpha=80.48 beta=89.96 gamma=89.88
Closest atoms and distances in Å follow each position.
Fractional coordinates of all 5 atoms:
Au 0.1611 0.7456 0.7626  1 P 2.42
Bi 0.6537 0.2749 0.5210  2 N 2.61-2.65
N 0.1639 0.5877 0.2496  1 P 1.66
Pd 0.6638 0.9646 0.1469  2 P 2.31, 2 N 2.31-2.32
P 0.1631 0.3490 0.0729  1 N 1.66

***

<3>
Entry from the Alexandria database: crystalline BiPPdAuN at its relaxed geometry (PBE).

Output
- size of the total moment (μB/atom) = 0.000

Unit cell a=4.3555 b=2.9099 c=15.8319 alpha=90.00 beta=93.60 gamma=90.00
Closest atoms and distances in Å follow each position.
Fractional coordinates of all 10 atoms:
Au 0.0167 0.0000 0.7265  1 P 2.45
Au 0.0167 0.5000 0.2265  1 P 2.45
P 0.0411 0.5000 0.3813  2 N 1.77
P 0.0411 0.0000 0.8813  2 N 1.77
Bi 0.4923 0.0000 0.1294  2 Bi 2.91, 2 Pd 3.01, 4 Au 3.03-3.04
Bi 0.4923 0.5000 0.6294  2 Bi 2.91, 2 Pd 3.01, 4 Au 3.03-3.04
N 0.8768 0.0000 0.4229  2 P 1.77
N 0.8768 0.5000 0.9229  2 P 1.77
Pd 0.4041 0.5000 0.9633  2 N 2.19-2.35
Pd 0.4041 0.0000 0.4633  2 N 2.19-2.35

***

<4>
Entry from the Alexandria database: crystalline BiPPdAuN at its relaxed geometry (PBE).

Output
- size of the total moment (μB/atom) = 0.000

Unit cell a=3.5859 b=4.3591 c=7.1450 alpha=73.42 beta=89.89 gamma=65.88
Closest atoms and distances in Å follow each position.
Fractional coordinates of all 5 atoms:
Bi 0.0665 0.1557 0.4520  2 N 2.54
Pd 0.9328 0.4227 0.9679  1 N 2.31, 3 P 2.35-2.55
Au 0.2948 0.7027 0.2063  3 Pd 2.84-2.93, 2 P 2.84-2.87, 3 Bi 2.88-2.94
P 0.5978 0.0909 0.9056  1 N 1.62
N 0.6666 0.9531 0.7152  1 P 1.62

***

<1> has the most favorable energy; the next structure is 9 meV per atom above.

***

<1>
Entry from the Alexandria database: crystalline BiPRuAuSN at its relaxed geometry (PBE).

Output
- size of the total moment (μB/atom) = 0.000

Unit cell a=4.8892 b=3.4706 c=7.0763 alpha=90.00 beta=99.11 gamma=90.00
Closest atoms and distances in Å follow each position.
Fractional coordinates of all 6 atoms:
Au 0.1600 0.5000 0.8542  2 P 2.67, 2 Bi 2.90, 1 Ru 2.91
N 0.2756 0.0000 0.3750  1 P 1.66
P 0.1656 0.0000 0.1409  1 N 1.66
Ru 0.4898 0.5000 0.2346  2 N 2.33, 2 P 2.37, 2 S 2.38
Bi 0.9102 0.0000 0.5466  1 N 2.31
S 0.7059 0.0000 0.0808  1 P 2.22, 2 Ru 2.38

***

<2>
Entry from the Alexandria database: crystalline BiPRuAuSN at its relaxed geometry (PBE).

Output
- size of the total moment (μB/atom) = 0.000

Unit cell a=3.6049 b=5.4400 c=6.4978 alpha=84.21 beta=76.62 gamma=87.84
Closest atoms and distances in Å follow each position.
Fractional coordinates of all 6 atoms:
N 0.3903 0.0021 0.3049  1 Ru 1.91, 1 Au 2.12
Bi 0.9465 0.6999 0.3125  2 N 2.33-2.55
Au 0.2461 0.1841 0.5875  1 N 2.12, 1 P 2.30
P 0.0926 0.3396 0.9135  1 S 2.12, 2 Ru 2.25-2.32, 1 Au 2.30
S 0.8326 0.6960 0.9165  1 P 2.12
Ru 0.4897 0.3105 0.1366  1 N 1.91

***

<2> has the most favorable energy; the next structure is 31 meV per atom above.

***

<1>
Entry from the Alexandria database: crystalline BiPRuAuSN at its relaxed geometry (PBE).

Output
- size of the total moment (μB/atom) = 0.000

Unit cell a=3.5755 b=6.0450 c=6.0912 alpha=85.00 beta=86.55 gamma=73.16
Closest atoms and distances in Å follow each position.
Fractional coordinates of all 6 atoms:
P 0.8451 0.3096 0.9086  2 Ru 2.28-2.29, 1 Au 2.36, 1 S 2.42
Au 0.8074 0.4819 0.5454  1 P 2.36, 1 S 2.43
Ru 0.4651 0.0658 0.8919  1 N 1.85
Bi 0.0715 0.9410 0.5552  2 Ru 2.83-2.87, 1 N 3.02, 1 Au 3.13, 1 P 3.14
S 0.8527 0.6007 0.1560  1 N 1.62
N 0.4918 0.8332 0.1144  1 S 1.62

***

<2>
Entry from the Alexandria database: crystalline BiPRuAuSN at its relaxed geometry (PBE).

Output
- size of the total moment (μB/atom) = 0.000

Unit cell a=4.3827 b=3.6652 c=7.1865 alpha=90.00 beta=91.91 gamma=90.00
Closest atoms and distances in Å follow each position.
Fractional coordinates of all 6 atoms:
Ru 0.0484 0.5000 0.2714  2 P 2.30, 2 N 2.31, 1 S 2.33
Bi 0.2472 0.5000 0.6361  2 Au 2.73, 1 Ru 2.73, 1 S 2.74
Au 0.6221 0.0000 0.8083  2 S 2.46, 2 Bi 2.73
P 0.7329 0.0000 0.2888  1 N 1.59
S 0.9197 0.5000 0.9543  1 Ru 2.33, 2 Au 2.46
N 0.3691 0.0000 0.2733  1 P 1.59

***

<2> has the most favorable energy; the next structure is 141 meV per atom above.